Density functional theory data (PBE) for crystalline HgGe2Te2 at its relaxed geometry.

Unit cell a=5.5179 b=5.5179 c=9.1856 alpha=90.00 beta=90.00 gamma=90.00
Atoms (fractional coordinates):
Hg1 0.0000 0.0000 0.0000
Hg2 0.5000 0.5000 0.5000
Ge1 0.0000 0.0000 0.3513
Ge2 0.0000 0.0000 0.6487
Ge3 0.5000 0.5000 0.1487
Ge4 0.5000 0.5000 0.8513
Te1 0.0000 0.5000 0.2500
Te2 0.0000 0.5000 0.7500
Te3 0.5000 0.0000 0.2500
Te4 0.5000 0.0000 0.7500

Summary:
Fermi-level density of states (states/eV/f.u.): 0.69
Space-group type: I4/mmm
Raw formation energy (eV per atom): 0.0813
Polymorph energy (0 for the lowest one) (meV per atom): 6.6

---

Density functional theory data (PBE) for crystalline HgGe2Te6 at its relaxed geometry.

Unit cell a=9.6704 b=9.6704 c=6.9918 alpha=102.79 beta=102.79 gamma=85.91
Atoms (fractional coordinates):
Hg1 0.2145 0.7855 0.7500
Hg2 0.7855 0.2145 0.2500
Ge1 0.2000 0.3736 0.7469
Ge2 0.3736 0.2000 0.2469
Ge3 0.6264 0.8000 0.7531
Ge4 0.8000 0.6264 0.2531
Te1 0.0322 0.1513 0.6491
Te2 0.0539 0.6067 0.8647
Te3 0.1513 0.0322 0.1491
Te4 0.3253 0.4476 0.4854
Te5 0.3933 0.9461 0.6353
Te6 0.4476 0.3253 0.9854
Te7 0.5524 0.6747 0.0146
Te8 0.6067 0.0539 0.3647
Te9 0.6747 0.5524 0.5146
Te10 0.8487 0.9678 0.8509
Te11 0.9461 0.3933 0.1353
Te12 0.9678 0.8487 0.3509

Summary:
Fermi-level density of states (states/eV/f.u.): 6.11
Space-group type: C2/c
Raw formation energy (eV per atom): 0.0794

---

Density functional theory data (PBE) for crystalline HgGe2Te2 at its relaxed geometry.

Unit cell a=5.0914 b=5.0914 c=13.4629 alpha=90.00 beta=90.00 gamma=90.00
Atoms (fractional coordinates):
Hg1 0.0000 0.0000 0.0000
Hg2 0.5000 0.5000 0.5000
Ge1 0.0000 0.5000 0.2500
Ge2 0.0000 0.5000 0.7500
Ge3 0.5000 0.0000 0.2500
Ge4 0.5000 0.0000 0.7500
Te1 0.0000 0.0000 0.3530
Te2 0.0000 0.0000 0.6470
Te3 0.5000 0.5000 0.1470
Te4 0.5000 0.5000 0.8530

Summary:
Fermi-level density of states (states/eV/f.u.): 1.56
Space-group type: I4/mmm
Raw formation energy (eV per atom): 0.1244
Polymorph energy (0 for the lowest one) (meV per atom): 49.8

---

Density functional theory data (PBE) for crystalline HgGe6Te8 at its relaxed geometry.

Unit cell a=11.4149 b=11.4149 c=4.1312 alpha=90.00 beta=90.00 gamma=120.00
Atoms (fractional coordinates):
Hg1 0.0000 0.0000 0.0000
Ge1 0.1297 0.6361 0.2510
Ge2 0.3639 0.4937 0.2510
Ge3 0.4937 0.1297 0.7490
Ge4 0.5063 0.8703 0.2510
Ge5 0.6361 0.5063 0.7490
Ge6 0.8703 0.3639 0.7490
Te1 0.0346 0.3565 0.2495
Te2 0.3219 0.9654 0.2495
Te3 0.3333 0.6667 0.7499
Te4 0.3565 0.3219 0.7505
Te5 0.6435 0.6781 0.2495
Te6 0.6667 0.3333 0.2501
Te7 0.6781 0.0346 0.7505
Te8 0.9654 0.6435 0.7505

Summary:
Fermi-level density of states (states/eV/f.u.): 5.44
Space-group type: P-3
Raw formation energy (eV per atom): -0.0272

---

Density functional theory data (PBE) for crystalline HgGeTe2 at its relaxed geometry.

Unit cell a=15.1373 b=4.4830 c=7.1049 alpha=90.00 beta=90.00 gamma=90.00
Atoms (fractional coordinates):
Hg1 0.0936 0.2500 0.1035
Hg2 0.4064 0.7500 0.6035
Hg3 0.5936 0.2500 0.3965
Hg4 0.9064 0.7500 0.8965
Ge1 0.1413 0.7500 0.5416
Ge2 0.3587 0.2500 0.0416
Ge3 0.6413 0.7500 0.9584
Ge4 0.8587 0.2500 0.4584
Te1 0.0318 0.2500 0.7319
Te2 0.2359 0.2500 0.3495
Te3 0.2641 0.7500 0.8495
Te4 0.4682 0.7500 0.2319
Te5 0.5318 0.2500 0.7681
Te6 0.7359 0.2500 0.1505
Te7 0.7641 0.7500 0.6505
Te8 0.9682 0.7500 0.2681

Summary:
Space-group type: Pnma
Raw formation energy (eV per atom): -0.0583
Polymorph energy (0 for the lowest one) (meV per atom): 0.0

---

Density functional theory data (PBE) for crystalline HgGe2Te3 at its relaxed geometry.

Unit cell a=9.6849 b=9.6849 c=6.1564 alpha=91.70 beta=91.70 gamma=35.91
Atoms (fractional coordinates):
Hg1 0.0868 0.0868 0.2976
Hg2 0.9132 0.9132 0.7024
Ge1 0.2452 0.2452 0.7940
Ge2 0.4193 0.4193 0.2175
Ge3 0.5807 0.5807 0.7825
Ge4 0.7548 0.7548 0.2060
Te1 0.0864 0.0864 0.7769
Te2 0.2575 0.2575 0.2505
Te3 0.4147 0.4147 0.7598
Te4 0.5853 0.5853 0.2402
Te5 0.7425 0.7425 0.7495
Te6 0.9136 0.9136 0.2231

Summary:
Fermi-level density of states (states/eV/f.u.): 2.16
Space-group type: C2/m
Raw formation energy (eV per atom): -0.0492

---

Density functional theory data (PBE) for crystalline HgGeTe2 at its relaxed geometry.

Unit cell a=4.1605 b=4.1605 c=22.4870 alpha=90.00 beta=90.00 gamma=120.00
Atoms (fractional coordinates):
Hg1 0.0000 0.0000 0.0000
Hg2 0.3333 0.6667 0.6667
Hg3 0.6667 0.3333 0.3333
Ge1 0.0000 0.0000 0.8313
Ge2 0.3333 0.6667 0.4979
Ge3 0.6667 0.3333 0.1646
Te1 0.0000 0.0000 0.2424
Te2 0.0000 0.0000 0.4245
Te3 0.3333 0.6667 0.0911
Te4 0.3333 0.6667 0.9091
Te5 0.6667 0.3333 0.5757
Te6 0.6667 0.3333 0.7578

Summary:
Fermi-level density of states (states/eV/f.u.): 1.18
Space-group type: R3m
Raw formation energy (eV per atom): -0.0158
Polymorph energy (0 for the lowest one) (meV per atom): 42.5

---

Density functional theory data (PBE) for crystalline Hg3GeTe4 at its relaxed geometry.

Unit cell a=14.5547 b=14.5547 c=14.5547 alpha=19.16 beta=19.16 gamma=19.16
Atoms (fractional coordinates):
Hg1 0.0000 0.0000 0.0000
Hg2 0.2462 0.2462 0.2462
Hg3 0.4924 0.4924 0.4924
Ge1 0.7413 0.7413 0.7413
Te1 0.0686 0.0686 0.0686
Te2 0.3140 0.3140 0.3140
Te3 0.5597 0.5597 0.5597
Te4 0.8057 0.8057 0.8057

Summary:
Fermi-level density of states (states/eV/f.u.): 0.96
Space-group type: R3m
Raw formation energy (eV per atom): -0.0958